DFT (GGA+U) results for a geometry-optimized PrEuMnSbO6 structure.

Structure (POSCAR):
```
PrEuMnSbO6
1.0
0.0000 4.0674 4.0674
4.0674 0.0000 4.0674
4.0674 4.0674 0.0000
Pr Eu Mn Sb O
1 1 1 1 6
Direct
0.0000 0.0000 0.0000
0.5000 0.5000 0.5000
0.2500 0.2500 0.2500
0.7500 0.7500 0.7500
0.5067 0.5067 0.9933
0.5067 0.9933 0.5067
0.5067 0.9933 0.9933
0.9933 0.5067 0.5067
0.9933 0.5067 0.9933
0.9933 0.9933 0.5067
```

**Calculated density**: 7.0 g cm⁻³
**Symmetry**: F-43m (216)
**VASP energy**: -78.5 eV for the cell shown